No. 1
SrCo3Te | Alexandria | GGA-PBE | relaxed; crystal system = cubic; uncorrected formation energy = 257 kJ/mol of formula units; space-group type = Pm-3m, No. 221; uncorrected energy = -23.5 eV/cell
1.0
-2.594 3.977 -0.266
-2.262 -1.730 -3.809
-3.282 -1.951 2.835
Te Co Sr
1 3 1
Direct
0.000 0.000 0.000 Te
0.000 0.500 0.000 Co
0.000 0.000 0.500 Co
0.500 0.000 0.000 Co
0.500 0.500 0.500 Sr



No. 2
SrCo2Te2 | Alexandria | GGA-PBE | relaxed; crystal system = tetragonal; uncorrected formation energy = -211 kJ/mol of formula units; space-group type = I4/mmm, No. 139; uncorrected energy = -24.4 eV/cell
1.0
-1.277 -0.061 3.989
-1.829 -3.714 -0.643
3.849 -4.840 3.357
Co Te Sr
2 2 1
Direct
0.750 0.250 0.500 Co
0.250 0.750 0.500 Co
0.359 0.359 0.282 Te
0.641 0.641 0.718 Te
0.000 0.000 0.000 Sr



Table of Fermi-level density of states (states/eV/cell), in record order: 2.2; 4.1
Table of spin magnetization (Bohr magnetons per cell), in record order: 3.08; 2.04
Table of energy relative to the lowest polymorph listed for this composition (eV/atom), in record order: 0.0000; 0.0000